w:
Crystalline La2MgCdNi at its relaxed geometry. Source: Alexandria via LeMat-Bulk, functional PBE-GGA.

Cell: 5.3553 5.3553 5.0808 Å, 90.00 90.00 90.00°
Atoms (fractional coordinates):
La  0.0000  0.5000  0.0000
La  0.5000  0.0000  0.0000
Ni  0.0000  0.0000  0.0000
Cd  0.0000  0.0000  0.5000
Mg  0.5000  0.5000  0.5000

Calculated values
Its magnetic moment is 0.00 μB per formula unit.

---

x:
Crystalline La2MgCdNi at its relaxed geometry. Source: Alexandria via LeMat-Bulk, functional PBE-GGA.

Cell: 5.3670 5.3670 4.9809 Å, 90.00 90.00 90.00°
Atoms (fractional coordinates):
Mg  0.0000  0.0000  0.5000
Ni  0.0000  0.0000  0.0000
La  0.5000  0.0000  0.0000
La  0.0000  0.5000  0.0000
Cd  0.5000  0.5000  0.5000

Calculated values
Its magnetic moment is 0.00 μB per formula unit.

---

Most stable to least stable, the ends of the list are x and w.

---

w:
Crystalline LaMgCdPb at its relaxed geometry. Source: Alexandria via LeMat-Bulk, functional PBE-GGA.

Cell: 4.6079 4.7920 5.0302 Å, 90.00 90.00 90.00°
Atoms (fractional coordinates):
Pb  0.0000  0.5000  0.5000
Mg  0.5000  0.5000  0.0000
La  0.5000  0.0000  0.5000
Cd  0.0000  0.0000  0.0000

Calculated values
Its magnetic moment is 0.00 μB per formula unit.

---

x:
Crystalline LaMgCdPb at its relaxed geometry. Source: Alexandria via LeMat-Bulk, functional PBE-GGA.

Cell: 5.3941 5.3941 5.3941 Å, 60.00 60.00 60.00°
Atoms (fractional coordinates):
Pb  0.7500  0.7500  0.7500
Cd  0.2500  0.2500  0.2500
Mg  0.0000  0.0000  0.0000
La  0.5000  0.5000  0.5000

Calculated values
Its magnetic moment is 0.00 μB per formula unit.

---

Most stable to least stable, the ends of the list are w and x.